Record 1
VASP calculation (PBE) on a geometry-optimized Sr2YSb structure.

Values from the calculation:
The value obtained for the formation energy without anion corrections is -0.412 eV/atom.

a = 11.005 Å, b = 11.005 Å, c = 11.005 Å
α = 22.98°, β = 22.98°, γ = 22.98°
Fractional coordinates of all 4 atoms:
Sb: 0.757 0.757 0.757
Sr: 0.025 0.025 0.025
Sr: 0.243 0.243 0.243
Y: 0.475 0.475 0.475



Record 2
VASP calculation (PBE) on a geometry-optimized YHo10Sc2 structure.

Values from the calculation:
The formation energy comes out at 24.41 kJ/mol of atoms.

a = 6.443 Å, b = 8.232 Å, c = 9.072 Å
α = 82.01°, β = 69.20°, γ = 66.96°
Fractional coordinates of all 13 atoms:
Y: 0.000 0.000 0.000
Ho: 0.341 0.639 0.678
Ho: 0.659 0.361 0.322
Ho: 0.981 0.361 0.678
Ho: 0.019 0.639 0.322
Ho: 0.000 0.000 0.500
Ho: 0.500 0.000 0.500
Ho: 0.296 0.211 0.198
Ho: 0.704 0.789 0.802
Ho: 0.507 0.789 0.198
Ho: 0.493 0.211 0.802
Sc: 0.000 0.500 0.000
Sc: 0.500 0.500 0.000



Record 3
VASP calculation (PBE) on a geometry-optimized Ac2ScZn3Ge4 structure.

Values from the calculation:
The formation energy comes out at -50.38 kJ/mol of atoms.

a = 4.487 Å, b = 4.487 Å, c = 11.023 Å
α = 90.00°, β = 90.00°, γ = 90.00°
Fractional coordinates of all 10 atoms:
Ac: 0.500 0.000 0.232
Ac: 0.000 0.500 0.768
Sc: 0.500 0.500 0.500
Zn: 0.000 0.000 0.500
Zn: 0.500 0.000 0.880
Zn: 0.000 0.500 0.120
Ge: 0.500 0.500 0.000
Ge: 0.000 0.000 0.000
Ge: 0.500 0.000 0.645
Ge: 0.000 0.500 0.355



Record 4
VASP calculation (PBE) on a geometry-optimized CaInSe2 structure.

Values from the calculation:
The value obtained for the formation energy without anion corrections is -0.916 eV/atom.

a = 3.709 Å, b = 3.709 Å, c = 7.156 Å
α = 90.00°, β = 90.00°, γ = 89.99°
Fractional coordinates of all 4 atoms:
Ca: 0.500 0.500 0.250
Se: 0.000 0.000 0.018
Se: 0.000 0.000 0.482
In: 0.500 0.500 0.750



Record 5
VASP calculation (PBE) on a geometry-optimized BeC2I structure.

Values from the calculation:
The value obtained for the formation energy without anion corrections is 2.855 eV/atom. Its energy above the lowest structure with this stoichiometry is 1071 meV/atom.

a = 4.042 Å, b = 4.042 Å, c = 4.042 Å
α = 60.00°, β = 60.00°, γ = 60.00°
Fractional coordinates of all 4 atoms:
I: 0.500 0.500 0.500
Be: 0.000 0.000 0.000
C: 0.250 0.250 0.250
C: 0.750 0.750 0.750



Record 6
VASP calculation (PBE) on a geometry-optimized Pr3Zn2Pd9Au structure.

Values from the calculation:
The formation energy comes out at -28.22 kJ/mol of atoms.

a = 7.732 Å, b = 7.732 Å, c = 6.286 Å
α = 90.00°, β = 90.00°, γ = 120.00°
Fractional coordinates of all 15 atoms:
Pr: 0.333 0.667 0.656
Pr: 0.000 0.000 0.000
Pr: 0.667 0.333 0.344
Zn: 0.333 0.667 0.146
Zn: 0.667 0.333 0.854
Pd: 0.824 0.176 0.671
Pd: 0.824 0.648 0.671
Pd: 0.352 0.176 0.671
Pd: 0.648 0.824 0.329
Pd: 0.176 0.352 0.329
Pd: 0.176 0.824 0.329
Pd: 0.500 0.000 0.000
Pd: 0.000 0.500 0.000
Pd: 0.500 0.500 0.000
Au: 0.000 0.000 0.500



Record 7
VASP calculation (PBE) on a geometry-optimized Ba2PrSb4Pd3 structure.

Values from the calculation:
The value obtained for the formation energy without anion corrections is -0.844 eV/atom.

a = 4.793 Å, b = 4.793 Å, c = 12.135 Å
α = 90.00°, β = 90.00°, γ = 90.00°
Fractional coordinates of all 10 atoms:
Ba: 0.500 0.000 0.231
Ba: 0.000 0.500 0.769
Pr: 0.500 0.500 0.500
Sb: 0.500 0.500 0.000
Sb: 0.000 0.000 0.000
Sb: 0.500 0.000 0.659
Sb: 0.000 0.500 0.341
Pd: 0.000 0.000 0.500
Pd: 0.500 0.000 0.889
Pd: 0.000 0.500 0.111



Record 8
VASP calculation (PBE) on a geometry-optimized Mg2SiPt structure.

Values from the calculation:
The value obtained for the formation energy without anion corrections is -0.517 eV/atom.

a = 4.103 Å, b = 3.461 Å, c = 5.314 Å
α = 70.71°, β = 90.00°, γ = 90.00°
Fractional coordinates of all 4 atoms:
Mg: 0.000 0.966 0.941
Mg: 0.500 0.285 0.306
Pt: 0.000 0.689 0.499
Si: 0.500 0.560 0.754



Record 9
VASP calculation (PBE) on a geometry-optimized InMoW2 structure.

Values from the calculation:
The formation energy comes out at 48.50 kJ/mol of atoms.

a = 5.031 Å, b = 5.031 Å, c = 5.031 Å
α = 132.37°, β = 132.37°, γ = 69.65°
Fractional coordinates of all 4 atoms:
In: 0.500 0.500 0.000
Mo: 0.750 0.250 0.500
W: 0.000 0.000 0.000
W: 0.250 0.750 0.500



Record 10
VASP calculation (PBE) on a geometry-optimized NaTa2Tl structure.

Values from the calculation:
The formation energy comes out at 109.08 kJ/mol of atoms. Its energy above the lowest structure with this stoichiometry is 0 meV/atom.

a = 4.817 Å, b = 4.817 Å, c = 4.817 Å
α = 60.00°, β = 60.00°, γ = 60.00°
Fractional coordinates of all 4 atoms:
Na: 0.000 0.000 0.000
Tl: 0.500 0.500 0.500
Ta: 0.250 0.250 0.250
Ta: 0.750 0.750 0.750



no.,mass density (g/cm³),V (Å³/atom),total energy (eV per atom)
1,3.6,44.569,-3.899
2,7.3,31.842,-4.740
3,7.4,22.190,-4.206
4,5.3,24.611,-3.844
5,5.7,11.671,-3.076
6,8.7,21.697,-4.752
7,7.3,27.873,-4.914
8,6.3,17.806,-4.180
9,14.1,17.045,-9.366
10,12.4,19.764,-5.717